[1]
VASP calculation (PBE-GGA) on an optimized crystal structure of In2PdW.

Computed properties:
Density   10.55 g/cm3
Total moment   0.078 μB per atom
VASP energy   -5.193 eV/atom
Energy above the lowest structure with this stoichiometry   320 meV per atom

abc: 4.1176 4.1176 19.3007
angles: 90.00 90.00 90.00
With the nearest neighbours (Å) after each atom.
Space group I-42d (No. 122)
Unique sites:
In1 0.2482 0.2500 0.1250  2 W 2.82, 2 Pd 2.82, 4 In 2.90-2.92
Pd1 0.0000 0.0000 0.5000  4 In 2.82, 4 W 2.91
W1 0.0000 0.0000 0.0000  4 In 2.82, 4 Pd 2.91

[2]
VASP calculation (PBE-GGA) on an optimized crystal structure of LiScOs2.

Computed properties:
Density   11.74 g/cm3
Total moment   0.000 μB per atom
VASP energy   -7.484 eV/atom
Energy above the lowest structure with this stoichiometry   225 meV per atom

abc: 2.7945 2.7945 27.1247
angles: 90.00 90.00 120.00
With the nearest neighbours (Å) after each atom.
Space group R-3m (No. 166, hexagonal axes)
Unique sites:
Li1 0.0000 0.0000 0.0000  6 Os 2.75, 6 Li 2.79
Sc1 0.0000 0.0000 0.5000  6 Sc 2.79, 6 Os 2.80
Os1 0.0000 0.0000 0.2512  3 Li 2.75, 6 Os 2.79, 3 Sc 2.80

[3]
VASP calculation (PBE-GGA) on an optimized crystal structure of BeGaSn2.

Computed properties:
Density   6.24 g/cm3
Total moment   0.000 μB per atom
VASP energy   -3.281 eV/atom
Energy above the lowest structure with this stoichiometry   115 meV per atom

abc: 6.9555 6.9555 6.9555
angles: 90.00 90.00 90.00
With the nearest neighbours (Å) after each atom.
Space group Fm-3m (No. 225)
Unique sites:
Be1 0.0000 0.0000 0.0000  8 Sn 3.01
Ga1 0.0000 0.0000 0.5000  8 Sn 3.01
Sn1 0.2500 0.2500 0.2500  4 Be 3.01, 4 Ga 3.01

[4]
VASP calculation (PBE-GGA) on an optimized crystal structure of Dy3TiAl8.

Computed properties:
Density   5.41 g/cm3
Total moment   0.000 μB per atom
VASP energy   -4.749 eV/atom

abc: 5.4566 5.4566 26.8473
angles: 90.00 90.00 120.00
With the nearest neighbours (Å) after each atom.
Space group R3m (No. 160, hexagonal axes)
Unique sites:
Dy1 0.0000 0.0000 0.0000  12 Al 3.13-3.20, 3 Ti 3.33, 1 Dy 3.39
Dy2 0.0000 0.0000 0.1262  12 Al 3.20-3.26, 4 Dy 3.36-3.39
Dy3 0.0000 0.0000 0.5034  12 Al 3.20-3.31, 1 Ti 3.30, 3 Dy 3.36
Ti1 0.0000 0.0000 0.6262  12 Al 3.16-3.20, 4 Dy 3.30-3.33
Al1 0.0000 0.0000 0.3135  6 Al 2.69-2.70
Al2 0.0000 0.0000 0.8141  6 Al 2.77-2.79
Al3 0.0008 0.5004 0.5658  6 Al 2.69-2.77
Al4 0.1675 0.3350 0.3950  6 Al 2.70-2.79

Ordered density of states at the Fermi level results: 16.77; 9.56; 7.54; 23.69; unit states/eV/cell.